[1]
Y6TeAu2Se3 | Alexandria | PBE | relaxed; uncorrected energy = -75.52 eV for the cell shown; formation energy from raw total energies = -1601 kJ/mol of formula units; space-group type = C2/m
1.0
9.3115 -2.0374 0.0000
9.3115 2.0374 0.0000
-2.5995 0.0000 8.1513
Y Te Au Se
6 1 2 3
direct
0.0094 0.0094 0.2719
0.3243 0.3243 0.8838
0.3400 0.3400 0.3941
0.6600 0.6600 0.6059
0.6757 0.6757 0.1162
0.9906 0.9906 0.7281
0.5000 0.5000 0.0000
0.1801 0.1801 0.3716
0.8199 0.8199 0.6284
0.1589 0.1589 0.8551
0.5000 0.5000 0.5000
0.8411 0.8411 0.1449

=====

[2]
LiAl2H6 | Alexandria | PBE | relaxed; uncorrected energy = -26.11 eV for the cell shown; space-group type = Fm-3m; polymorph energy (0 for the lowest one) = 3.40 eV/f.u.
1.0
0.0000 3.0713 3.0713
3.0713 0.0000 3.0713
3.0713 3.0713 0.0000
Li Al H
1 2 6
direct
0.0000 0.0000 0.0000
0.2500 0.2500 0.2500
0.7500 0.7500 0.7500
0.2707 0.2707 0.7293
0.2707 0.7293 0.2707
0.2707 0.7293 0.7293
0.7293 0.2707 0.2707
0.7293 0.2707 0.7293
0.7293 0.7293 0.2707

=====

[3]
Cs2CoAsRu | Alexandria | PBE | relaxed; uncorrected energy = -16.98 eV for the cell shown; E_form = 1152 meV per atom; space-group type = P4/mmm
1.0
6.8425 0.0000 0.0000
0.0000 6.8425 0.0000
0.0000 0.0000 4.2728
Cs Co As Ru
2 1 1 1
direct
0.0000 0.5000 0.0000
0.5000 0.0000 0.0000
0.0000 0.0000 0.0000
0.5000 0.5000 0.5000
0.0000 0.0000 0.5000

=====

[4]
RbTc2IrO8 | Alexandria | PBE | relaxed; uncorrected energy = -84.59 eV for the cell shown; formation energy from raw total energies = -1386 kJ/mol of formula units; space-group type = R-3m
1.0
2.8438 1.6419 8.6540
-2.8438 1.6419 8.6540
0.0000 -3.2837 8.6540
Rb Tc Ir O
1 2 1 8
direct
0.0000 0.0000 0.0000
0.2361 0.2361 0.2361
0.7639 0.7639 0.7639
0.5000 0.5000 0.5000
0.1339 0.6112 0.6112
0.3035 0.3035 0.3035
0.3888 0.3888 0.8661
0.3888 0.8661 0.3888
0.6112 0.1339 0.6112
0.6112 0.6112 0.1339
0.6965 0.6965 0.6965
0.8661 0.3888 0.3888

=====

[5]
La4NdHo2Th | Alexandria | PBE | relaxed; uncorrected energy = -40.75 eV for the cell shown; E_form = 38 meV per atom; space-group type = P2/m
1.0
5.1521 0.0000 0.0000
0.0000 5.1752 0.0000
-0.0084 0.0000 10.3666
La Nd Ho Th
4 1 2 1
direct
0.0004 0.0000 0.2465
0.9996 0.0000 0.7535
0.5001 0.5000 0.2458
0.4999 0.5000 0.7542
0.0000 0.5000 0.5000
0.0000 0.5000 0.0000
0.5000 0.0000 0.5000
0.5000 0.0000 0.0000

=====

[6]
NbHN2 | Alexandria | PBE | relaxed; uncorrected energy = -31.76 eV for the cell shown; space-group type = R-3m; polymorph energy (0 for the lowest one) = 0.00 eV/f.u.
1.0
1.5762 0.9100 4.7400
-1.5762 0.9100 4.7400
0.0000 -1.8200 4.7400
Nb H N
1 1 2
direct
0.0000 0.0000 0.0000
0.5000 0.5000 0.5000
0.4102 0.4102 0.4102
0.5898 0.5898 0.5898

=====

[7]
CaY2Ta | Alexandria | PBE | relaxed; uncorrected energy = -25.09 eV for the cell shown; E_form = 422 meV per atom; space-group type = Cmm2; polymorph energy (0 for the lowest one) = 0.53 eV/f.u.
1.0
2.2533 -2.3543 0.0000
2.2533 2.3543 0.0000
0.0000 0.0000 10.8103
Ca Y Ta
1 2 1
direct
0.0000 0.0000 0.0000
0.0000 0.0000 0.5668
0.5000 0.5000 0.2906
0.5000 0.5000 0.7668

=====

[8]
MoRhS3 | Alexandria | PBE | relaxed; uncorrected energy = -26.67 eV for the cell shown; formation energy from raw total energies = 376 kJ/mol of formula units; space-group type = Pm-3m; polymorph energy (0 for the lowest one) = 1.08 eV/f.u.
1.0
4.5840 0.0000 0.0000
0.0000 4.5840 0.0000
0.0000 0.0000 4.5840
Mo Rh S
1 1 3
direct
0.0000 0.0000 0.0000
0.5000 0.5000 0.5000
0.0000 0.5000 0.5000
0.5000 0.0000 0.5000
0.5000 0.5000 0.0000

=====

DOS(E_F) (computed, states/eV per cell): 4.72; 1.16; 7.18; 5.65; 13.75; 0.00; 4.95; 4.48